Model one:
{"formula": "Na12Cd6Pb", "functional": "PBE", "state": "optimized geometry", "vol_a3_per_atom": 29.50, "n_ef_per_ev_atom": 0.45, "mass_density_g_cm3": 3.4, "spacegroup": "R-3, No. 148", "lattice": [[5.5513, 3.2051, 5.2501], [-5.5513, 3.2051, 5.2501], [0.0000, -6.4101, 5.2501]], "species": ["Na", "Na", "Na", "Na", "Na", "Na", "Na", "Na", "Na", "Na", "Na", "Na", "Cd", "Cd", "Cd", "Cd", "Cd", "Cd", "Pb"], "frac_coords": [[0.0604, 0.7406, 0.7335], [0.1950, 0.4992, 0.4755], [0.2594, 0.2665, 0.9396], [0.2665, 0.9396, 0.2594], [0.4755, 0.1950, 0.4992], [0.4992, 0.4755, 0.1950], [0.5008, 0.5245, 0.8050], [0.5245, 0.8050, 0.5008], [0.7335, 0.0604, 0.7406], [0.7406, 0.7335, 0.0604], [0.8050, 0.5008, 0.5245], [0.9396, 0.2594, 0.2665], [0.1039, 0.1250, 0.6129], [0.1250, 0.6129, 0.1039], [0.3871, 0.8961, 0.8750], [0.6129, 0.1039, 0.1250], [0.8750, 0.3871, 0.8961], [0.8961, 0.8750, 0.3871], [0.0000, 0.0000, 0.0000]]}

Model two:
{"formula": "Na12Cd6Pb", "functional": "PBE", "state": "optimized geometry", "vol_a3_per_atom": 29.37, "n_ef_per_ev_atom": 0.43, "mass_density_g_cm3": 3.4, "spacegroup": "R-3, No. 148", "lattice": [[5.7539, 3.3220, 4.8662], [-5.7539, 3.3220, 4.8662], [0.0000, -6.6440, 4.8662]], "species": ["Na", "Na", "Na", "Na", "Na", "Na", "Na", "Na", "Na", "Na", "Na", "Na", "Cd", "Cd", "Cd", "Cd", "Cd", "Cd", "Pb"], "frac_coords": [[0.0262, 0.3058, 0.9285], [0.0715, 0.9738, 0.6942], [0.1237, 0.3482, 0.4728], [0.3058, 0.9285, 0.0262], [0.3482, 0.4728, 0.1237], [0.4728, 0.1237, 0.3482], [0.5272, 0.8763, 0.6518], [0.6518, 0.5272, 0.8763], [0.6942, 0.0715, 0.9738], [0.8763, 0.6518, 0.5272], [0.9285, 0.0262, 0.3058], [0.9738, 0.6942, 0.0715], [0.2289, 0.6113, 0.7622], [0.2378, 0.7711, 0.3887], [0.3887, 0.2378, 0.7711], [0.6113, 0.7622, 0.2289], [0.7622, 0.2289, 0.6113], [0.7711, 0.3887, 0.2378], [0.5000, 0.5000, 0.5000]]}

Stability verdict: model two, ahead by 4.7 kJ/mol of atoms